[1]
Here is a relaxed TiMoN2F crystal from the Alexandria database. Energies are from GGA+U.

CIF file:
```
data_TiMoN2F
_cell_length_a 4.035
_cell_length_b 4.035
_cell_length_c 3.961
_cell_angle_alpha 90.00
_cell_angle_beta 90.00
_cell_angle_gamma 90.00
_symmetry_space_group_name_H-M 'P 4/m m m'
_symmetry_Int_Tables_number 123
_symmetry_space_group_name_Hall '-P 4 2'
loop_
_atom_site_label
_atom_site_type_symbol
_atom_site_fract_x
_atom_site_fract_y
_atom_site_fract_z
Ti1 Ti 0.000 0.000 0.000
Mo1 Mo 0.500 0.500 0.500
N1 N 0.000 0.500 0.500
F1 F 0.500 0.500 0.000
```

## Properties
E ... -6.71 eV/atom
Crystal system ... tetragonal
Theoretical density ... 4913 kg/m³

=====

[2]
Here is a relaxed TlMoN2F crystal from the Alexandria database. Energies are from GGA+U.

CIF file:
```
data_TlMoN2F
_cell_length_a 4.008
_cell_length_b 4.008
_cell_length_c 4.457
_cell_angle_alpha 90.00
_cell_angle_beta 90.00
_cell_angle_gamma 90.00
_symmetry_space_group_name_H-M 'P 4/m m m'
_symmetry_Int_Tables_number 123
_symmetry_space_group_name_Hall '-P 4 2'
loop_
_atom_site_label
_atom_site_type_symbol
_atom_site_fract_x
_atom_site_fract_y
_atom_site_fract_z
Tl1 Tl 0.000 0.000 0.000
Mo1 Mo 0.500 0.500 0.500
N1 N 0.000 0.500 0.500
F1 F 0.500 0.500 0.000
```

## Properties
E ... -5.63 eV/atom
Crystal system ... tetragonal
Theoretical density ... 8058 kg/m³